No. 1
DFT (PBE) results for a geometry-optimized RbPm2Tc2N6 structure.

Cell: 6.358 6.772 6.898 Å, 95.65 115.09 116.16°
Sites, in units of the cell vectors:
Rb  0.000  0.000  0.000
Pm  0.355  0.673  0.287
Pm  0.645  0.327  0.713
Tc  0.230  0.658  0.684
Tc  0.770  0.342  0.316
N  0.144  0.651  0.907
N  0.319  0.912  0.604
N  0.446  0.553  0.693
N  0.554  0.447  0.307
N  0.681  0.088  0.396
N  0.856  0.349  0.093

Summary:
The calculation puts the density of states at the Fermi level at 0.338 states/eV per atom.

No. 2
DFT (PBE) results for a geometry-optimized RbPmVN3 structure.

Cell: 7.062 7.062 8.260 Å, 104.44 104.44 31.68°
Sites, in units of the cell vectors:
Rb  0.141  0.141  0.065
Rb  0.859  0.859  0.935
Pm  0.158  0.158  0.579
Pm  0.842  0.842  0.421
V  0.493  0.493  0.676
V  0.507  0.507  0.324
N  0.011  0.011  0.330
N  0.343  0.343  0.624
N  0.371  0.371  0.229
N  0.629  0.629  0.771
N  0.657  0.657  0.376
N  0.989  0.989  0.670

Summary:
The calculation puts the density of states at the Fermi level at 0.349 states/eV per atom.

No. 3
DFT (PBE) results for a geometry-optimized RbPmWN3 structure.

Cell: 7.201 7.201 8.362 Å, 104.13 104.13 31.79°
Sites, in units of the cell vectors:
Rb  0.143  0.143  0.066
Rb  0.857  0.857  0.934
Pm  0.163  0.163  0.590
Pm  0.837  0.837  0.410
W  0.491  0.491  0.667
W  0.509  0.509  0.333
N  0.013  0.013  0.351
N  0.343  0.343  0.635
N  0.369  0.369  0.224
N  0.631  0.631  0.776
N  0.657  0.657  0.365
N  0.987  0.987  0.649

Summary:
The calculation puts the density of states at the Fermi level at 0.011 states/eV per atom.

No. 4
DFT (PBE) results for a geometry-optimized PmReN2 structure.

Cell: 6.489 6.489 6.489 Å, 30.15 30.15 30.15°
Sites, in units of the cell vectors:
Pm  0.000  0.000  0.000
Re  0.500  0.500  0.500
N  0.125  0.125  0.125
N  0.875  0.875  0.875

Summary:
The calculation puts the density of states at the Fermi level at 0.540 states/eV per atom.

No. 5
DFT (PBE) results for a geometry-optimized PmRe2N6 structure.

Cell: 6.046 6.046 7.711 Å, 100.03 100.03 36.09°
Sites, in units of the cell vectors:
Pm  0.000  0.000  0.000
Re  0.257  0.257  0.684
Re  0.743  0.743  0.316
N  0.136  0.136  0.791
N  0.249  0.249  0.406
N  0.389  0.389  0.850
N  0.611  0.611  0.150
N  0.751  0.751  0.594
N  0.864  0.864  0.209

Summary:
The calculation puts the density of states at the Fermi level at 0.384 states/eV per atom.

No. 6
DFT (PBE) results for a geometry-optimized Pm2Re2N5 structure.

Cell: 6.072 6.072 6.053 Å, 106.67 106.67 36.79°
Sites, in units of the cell vectors:
Pm  0.114  0.114  0.301
Pm  0.886  0.886  0.699
Re  0.363  0.363  0.145
Re  0.637  0.637  0.855
N  0.180  0.180  0.957
N  0.344  0.344  0.438
N  0.500  0.500  0.000
N  0.656  0.656  0.562
N  0.820  0.820  0.043

Summary:
The calculation puts the density of states at the Fermi level at 0.380 states/eV per atom.

No. 7
DFT (PBE) results for a geometry-optimized Pm3ReN6 structure.

Cell: 7.805 7.805 5.426 Å, 90.00 90.00 103.27°
Sites, in units of the cell vectors:
Pm  0.106  0.894  0.500
Pm  0.200  0.414  0.533
Pm  0.414  0.200  0.033
Pm  0.586  0.800  0.533
Pm  0.800  0.586  0.033
Pm  0.894  0.106  0.000
Re  0.304  0.696  0.079
Re  0.696  0.304  0.579
N  0.090  0.610  0.224
N  0.150  0.168  0.270
N  0.168  0.150  0.770
N  0.293  0.707  0.740
N  0.390  0.910  0.224
N  0.444  0.556  0.197
N  0.556  0.444  0.697
N  0.610  0.090  0.724
N  0.707  0.293  0.240
N  0.832  0.850  0.270
N  0.850  0.832  0.770
N  0.910  0.390  0.724

Summary:
The calculation puts the density of states at the Fermi level at 0.648 states/eV per atom.

No. 8
DFT (PBE) results for a geometry-optimized Pm3ReN4 structure.

Cell: 7.772 6.790 5.249 Å, 90.00 90.00 90.00°
Sites, in units of the cell vectors:
Pm  0.000  0.140  0.000
Pm  0.245  0.333  0.499
Pm  0.255  0.667  0.999
Pm  0.500  0.860  0.500
Pm  0.745  0.667  0.999
Pm  0.755  0.333  0.499
Re  0.000  0.820  0.471
Re  0.500  0.180  0.971
N  0.000  0.105  0.496
N  0.000  0.809  0.087
N  0.228  0.692  0.488
N  0.272  0.308  0.988
N  0.500  0.191  0.587
N  0.500  0.895  0.996
N  0.728  0.308  0.988
N  0.772  0.692  0.488

Summary:
The calculation puts the density of states at the Fermi level at 0.683 states/eV per atom.

No. 9
DFT (PBE) results for a geometry-optimized PmReN2 structure.

Cell: 3.976 3.976 3.419 Å, 90.00 90.00 90.00°
Sites, in units of the cell vectors:
Pm  0.000  0.000  0.000
Re  0.500  0.500  0.500
N  0.000  0.500  0.500
N  0.500  0.000  0.500

Summary:
The calculation puts the density of states at the Fermi level at 0.285 states/eV per atom.

No. 10
DFT (PBE) results for a geometry-optimized PmRe2N5 structure.

Cell: 6.751 6.751 6.751 Å, 129.81 129.81 73.72°
Sites, in units of the cell vectors:
Pm  0.250  0.250  0.000
Pm  0.750  0.750  0.000
Re  0.154  0.654  0.807
Re  0.346  0.154  0.500
Re  0.654  0.846  0.500
Re  0.846  0.346  0.193
N  0.000  0.000  0.000
N  0.026  0.234  0.500
N  0.234  0.734  0.208
N  0.266  0.474  0.500
N  0.474  0.974  0.208
N  0.500  0.500  0.000
N  0.526  0.026  0.792
N  0.734  0.526  0.500
N  0.766  0.266  0.792
N  0.974  0.766  0.500

Summary:
The calculation puts the density of states at the Fermi level at 0.100 states/eV per atom.

No. 11
DFT (PBE) results for a geometry-optimized PmReN2 structure.

Cell: 5.944 5.944 3.043 Å, 102.29 102.29 31.28°
Sites, in units of the cell vectors:
Pm  0.000  0.000  0.000
Re  0.254  0.254  0.823
N  0.383  0.383  0.412
N  0.654  0.654  0.806

Summary:
The calculation puts the density of states at the Fermi level at 0.363 states/eV per atom.

No. 12
DFT (PBE) results for a geometry-optimized Pm2Re2N5 structure.

Cell: 8.725 8.725 8.725 Å, 53.73 142.59 142.87°
Sites, in units of the cell vectors:
Pm  0.003  0.117  0.120
Pm  0.003  0.383  0.387
Pm  0.997  0.617  0.613
Pm  0.997  0.883  0.880
Re  0.470  0.740  0.230
Re  0.498  0.498  0.000
Re  0.498  0.998  0.500
Re  0.511  0.240  0.770
N  0.408  0.951  0.957
N  0.441  0.129  0.573
N  0.441  0.368  0.812
N  0.496  0.232  0.234
N  0.496  0.762  0.764
N  0.556  0.629  0.188
N  0.556  0.868  0.427
N  0.993  0.451  0.043
N  0.998  0.262  0.766
N  0.998  0.732  0.236

Summary:
The calculation puts the density of states at the Fermi level at 0.332 states/eV per atom.

No. 13
DFT (PBE) results for a geometry-optimized Pm2ReN4 structure.

Cell: 5.966 5.908 6.724 Å, 90.00 107.97 90.00°
Sites, in units of the cell vectors:
Pm  0.186  0.250  0.040
Pm  0.254  0.250  0.561
Pm  0.746  0.750  0.439
Pm  0.814  0.750  0.960
Re  0.274  0.750  0.810
Re  0.726  0.250  0.190
N  0.048  0.514  0.753
N  0.048  0.986  0.753
N  0.451  0.750  0.085
N  0.460  0.750  0.638
N  0.540  0.250  0.362
N  0.549  0.250  0.915
N  0.952  0.014  0.247
N  0.952  0.486  0.247

Summary:
The calculation puts the density of states at the Fermi level at 0.386 states/eV per atom.

No. 14
DFT (PBE) results for a geometry-optimized Pm3Re2N6 structure.

Cell: 10.098 10.098 10.098 Å, 157.55 157.55 31.96°
Sites, in units of the cell vectors:
Pm  0.000  0.000  0.000
Pm  0.184  0.184  0.000
Pm  0.816  0.816  0.000
Re  0.408  0.408  0.000
Re  0.592  0.592  0.000
N  0.087  0.587  0.500
N  0.303  0.303  0.000
N  0.413  0.913  0.500
N  0.587  0.087  0.500
N  0.697  0.697  0.000
N  0.913  0.413  0.500

Summary:
The calculation puts the density of states at the Fermi level at 0.441 states/eV per atom.

No. 15
DFT (PBE) results for a geometry-optimized Pm3Re2N7 structure.

Cell: 10.412 10.412 3.845 Å, 90.00 90.00 157.91°
Sites, in units of the cell vectors:
Pm  0.000  0.000  0.000
Pm  0.180  0.820  0.000
Pm  0.820  0.180  0.000
Re  0.401  0.599  0.500
Re  0.599  0.401  0.500
N  0.095  0.905  0.500
N  0.302  0.698  0.500
N  0.399  0.601  0.000
N  0.500  0.500  0.500
N  0.601  0.399  0.000
N  0.698  0.302  0.500
N  0.905  0.095  0.500

Summary:
The calculation puts the density of states at the Fermi level at 0.189 states/eV per atom.

No. 16
DFT (PBE) results for a geometry-optimized Pm2Re2RuN6 structure.

Cell: 6.475 6.475 6.475 Å, 54.52 54.52 54.52°
Sites, in units of the cell vectors:
Pm  0.191  0.191  0.191
Pm  0.809  0.809  0.809
Re  0.429  0.429  0.429
Re  0.571  0.571  0.571
Ru  0.000  0.000  0.000
N  0.230  0.768  0.768
N  0.232  0.232  0.770
N  0.232  0.770  0.232
N  0.768  0.230  0.768
N  0.768  0.768  0.230
N  0.770  0.232  0.232

Summary:
The calculation puts the density of states at the Fermi level at 0.660 states/eV per atom.

No. 17
DFT (PBE) results for a geometry-optimized PmSmReN4 structure.

Cell: 6.812 6.812 6.812 Å, 146.79 146.79 47.68°
Sites, in units of the cell vectors:
Pm  0.000  0.000  0.000
Sm  0.708  0.708  0.000
Re  0.354  0.354  0.000
N  0.187  0.187  0.000
N  0.354  0.854  0.500
N  0.521  0.521  0.000
N  0.854  0.354  0.500

Summary:
The calculation puts the density of states at the Fermi level at 0.265 states/eV per atom.

No. 18
DFT (PBE) results for a geometry-optimized PmSm2ReN4 structure.

Cell: 6.217 6.217 11.917 Å, 90.00 90.00 147.28°
Sites, in units of the cell vectors:
Pm  0.122  0.878  0.750
Pm  0.878  0.122  0.250
Sm  0.368  0.632  0.539
Sm  0.368  0.632  0.961
Sm  0.632  0.368  0.039
Sm  0.632  0.368  0.461
Re  0.145  0.855  0.250
Re  0.855  0.145  0.750
N  0.000  0.000  0.000
N  0.000  0.000  0.500
N  0.267  0.733  0.134
N  0.267  0.733  0.366
N  0.435  0.565  0.750
N  0.565  0.435  0.250
N  0.733  0.267  0.634
N  0.733  0.267  0.866

Summary:
The calculation puts the density of states at the Fermi level at 0.215 states/eV per atom.

No. 19
DFT (PBE) results for a geometry-optimized Pm2ReSnN5 structure.

Cell: 7.280 7.280 10.200 Å, 90.00 90.00 153.03°
Sites, in units of the cell vectors:
Pm  0.112  0.888  0.500
Pm  0.143  0.857  0.116
Pm  0.857  0.143  0.616
Pm  0.888  0.112  0.000
Re  0.477  0.523  0.268
Re  0.523  0.477  0.768
Sn  0.217  0.783  0.826
Sn  0.783  0.217  0.326
N  0.040  0.960  0.850
N  0.283  0.717  0.474
N  0.327  0.673  0.194
N  0.370  0.630  0.815
N  0.490  0.510  0.593
N  0.510  0.490  0.093
N  0.630  0.370  0.315
N  0.673  0.327  0.694
N  0.717  0.283  0.974
N  0.960  0.040  0.350

Summary:
The calculation puts the density of states at the Fermi level at 0.240 states/eV per atom.

No. 20
DFT (PBE) results for a geometry-optimized Sr2PmRe2N6 structure.

Cell: 6.988 6.988 6.988 Å, 52.59 52.59 52.59°
Sites, in units of the cell vectors:
Sr  0.206  0.206  0.206
Sr  0.794  0.794  0.794
Pm  0.000  0.000  0.000
Re  0.419  0.419  0.419
Re  0.581  0.581  0.581
N  0.241  0.744  0.744
N  0.256  0.256  0.759
N  0.256  0.759  0.256
N  0.744  0.241  0.744
N  0.744  0.744  0.241
N  0.759  0.256  0.256

Summary of E in eV/cell
-86.2 -86.0 -94.0 -33.2 -80.2 -81.1 -168.7 -133.8 -37.3 -143.3 -35.2 -164.3 -122.4 -98.7 -104.6 -95.8 -61.5 -134.7 -144.3 -89.3
(order as listed above)
Summary of spin magnetization in μB/atom
0.0000 0.1666 0.0000 0.2453 0.1133 0.0000 0.0480 0.0765 0.0000 0.0000 0.0000 0.0000 0.0000 0.0000 0.0000 0.0000 0.0000 0.0000 0.0000 0.0919
(order as listed above)